No. 1
The following is a DFT calculation (PBE) of a relaxed Nd2Al4GaAg3 crystal.

Results
Raw total energy, eV per cell: -39.97
Density of states at the Fermi level, states/eV per cell: 3.9

Cell lengths 4.3943, 4.3943, 10.7304 Å; angles 90.00, 90.00, 90.00 degrees
Last column: nearest neighbours and their distance in Å.
Space group P-4m2 (No. 115)
Unique sites:
Nd: 0.0000 0.5000 0.2478 [2 per cell]  8 Al 3.34-3.49, 6 Ag 3.37-3.45, 2 Ga 3.45
Al: 0.0000 0.0000 0.5000 [1 per cell]  4 Ag 2.61
Al: 0.0000 0.5000 0.8653 [2 per cell]  3 Ag 2.51-2.63, 2 Ga 2.63
Al: 0.5000 0.5000 0.5000 [1 per cell]  4 Ag 2.61
Ga: 0.5000 0.5000 0.0000 [1 per cell]  4 Al 2.63
Ag: 0.0000 0.0000 0.0000 [1 per cell]  4 Al 2.63
Ag: 0.0000 0.5000 0.6310 [2 per cell]  5 Al 2.51-2.61

---

No. 2
The following is a DFT calculation (PBE) of a relaxed AlGaAg2O4 crystal.

Results
Raw total energy, eV per cell: -88.95
Density of states at the Fermi level, states/eV per cell: 0.5
Raw formation energy, eV per atom: -1.5211

Cell lengths 5.0879, 5.0879, 8.4125 Å; angles 90.00, 90.00, 90.00 degrees
Last column: nearest neighbours and their distance in Å.
Space group I-4 (No. 82)
Unique sites:
Al: 0.0000 0.0000 0.0000 [2 per cell]  4 O 1.78
Ga: 0.0000 0.5000 0.2500 [2 per cell]  4 O 1.86
Ag: 0.0000 0.0000 0.5000 [2 per cell]  4 O 2.42
Ag: 0.0000 0.5000 0.7500 [2 per cell]  4 O 2.42
O: 0.1520 0.7563 0.1212 [8 per cell]  1 Al 1.78, 1 Ga 1.86

---

No. 3
The following is a DFT calculation (PBE) of a relaxed AlGaAg2O crystal.

Results
Raw total energy, eV per cell: -13.21
Density of states at the Fermi level, states/eV per cell: 5.1
Raw formation energy, eV per atom: 0.8439

Cell lengths 4.8402, 4.8402, 4.9809 Å; angles 90.00, 90.00, 90.00 degrees
Last column: nearest neighbours and their distance in Å.
Space group P4/mmm (No. 123)
Unique sites:
Al: 0.0000 0.0000 0.0000 [1 per cell]  4 Ag 2.42, 2 Ga 2.49
Ga: 0.0000 0.0000 0.5000 [1 per cell]  2 Al 2.49
Ag: 0.0000 0.5000 0.0000 [2 per cell]  2 Al 2.42
O: 0.5000 0.5000 0.5000 [1 per cell]  4 Ga 3.42, 8 Ag 3.47

---

No. 4
The following is a DFT calculation (PBE) of a relaxed AlGaAgOs2 crystal.

Results
Raw total energy, eV per cell: -24.77
Density of states at the Fermi level, states/eV per cell: 4.0

Cell lengths 4.5729, 4.5729, 4.4962 Å; angles 90.00, 90.00, 90.00 degrees
Last column: nearest neighbours and their distance in Å.
Space group P4/mmm (No. 123)
Unique sites:
Al: 0.0000 0.0000 0.0000 [1 per cell]  2 Ga 2.25
Ga: 0.0000 0.0000 0.5000 [1 per cell]  2 Al 2.25, 4 Os 2.29
Ag: 0.5000 0.5000 0.0000 [1 per cell]  8 Os 3.21, 4 Al 3.23
Os: 0.0000 0.5000 0.5000 [2 per cell]  2 Ga 2.29

---

No. 5
The following is a DFT calculation (PBE) of a relaxed AlGa2AgPb crystal.

Results
Raw total energy, eV per cell: -12.17
Density of states at the Fermi level, states/eV per cell: 3.0

Cell lengths 5.4683, 5.4683, 5.5073 Å; angles 90.00, 90.00, 90.00 degrees
Last column: nearest neighbours and their distance in Å.
Space group P4/mmm (No. 123)
Unique sites:
Al: 0.0000 0.0000 0.0000 [1 per cell]  2 Pb 2.75
Ga: 0.0000 0.5000 0.5000 [2 per cell]  2 Pb 2.73
Ag: 0.5000 0.5000 0.0000 [1 per cell]  4 Al 3.87, 8 Ga 3.88
Pb: 0.0000 0.0000 0.5000 [1 per cell]  4 Ga 2.73, 2 Al 2.75

---

No. 6
The following is a DFT calculation (PBE) of a relaxed AlGaAgPd crystal.

Results
Raw total energy, eV per cell: -64.31
Density of states at the Fermi level, states/eV per cell: 8.1

Cell lengths 6.3107, 6.3107, 6.3107 Å; angles 90.00, 90.00, 90.00 degrees
Last column: nearest neighbours and their distance in Å.
Space group F-43m (No. 216)
Unique sites:
Al: 0.0000 0.0000 0.0000 [4 per cell]  4 Pd 2.73, 4 Ag 2.73
Ga: 0.0000 0.0000 0.5000 [4 per cell]  4 Pd 2.73, 4 Ag 2.73
Ag: 0.2500 0.2500 0.7500 [4 per cell]  4 Al 2.73, 4 Ga 2.73
Pd: 0.2500 0.2500 0.2500 [4 per cell]  4 Al 2.73, 4 Ga 2.73

---

No. 7
The following is a DFT calculation (PBE) of a relaxed Pm2Al3Ga4Ag crystal.

Results
Raw total energy, eV per cell: -39.83
Density of states at the Fermi level, states/eV per cell: 3.2

Cell lengths 4.3144, 4.3144, 10.7968 Å; angles 90.00, 90.00, 90.00 degrees
Last column: nearest neighbours and their distance in Å.
Space group P-4m2 (No. 115)
Unique sites:
Pm: 0.0000 0.5000 0.2452 [2 per cell]  6 Al 3.28-3.50, 8 Ga 3.29-3.41, 2 Ag 3.50
Al: 0.0000 0.5000 0.8670 [2 per cell]  5 Ga 2.45-2.59
Al: 0.5000 0.5000 0.5000 [1 per cell]  4 Ga 2.63
Ga: 0.0000 0.0000 0.0000 [1 per cell]  4 Al 2.59
Ga: 0.0000 0.5000 0.6401 [2 per cell]  3 Al 2.45-2.63, 2 Ag 2.63
Ga: 0.5000 0.5000 0.0000 [1 per cell]  4 Al 2.59
Ag: 0.0000 0.0000 0.5000 [1 per cell]  4 Ga 2.63

---

No. 8
The following is a DFT calculation (PBE) of a relaxed Pm4AlGaAg2 crystal.

Results
Raw total energy, eV per cell: -103.03
Density of states at the Fermi level, states/eV per cell: 25.8

Cell lengths 5.2645, 5.2645, 25.8212 Å; angles 90.00, 90.00, 120.00 degrees
Last column: nearest neighbours and their distance in Å.
Space group R-3m (No. 166, hexagonal axes)
Unique sites:
Pm: 0.0000 0.0000 0.1230 [6 per cell]  4 Ag 3.16-3.17, 1 Ga 3.18, 3 Al 3.24
Pm: 0.0000 0.0000 0.3734 [6 per cell]  3 Ga 3.21, 1 Al 3.27, 4 Ag 3.28-3.31
Al: 0.0000 0.0000 0.5000 [3 per cell]  8 Pm 3.24-3.27
Ga: 0.0000 0.0000 0.0000 [3 per cell]  8 Pm 3.18-3.21
Ag: 0.0000 0.0000 0.2453 [6 per cell]  8 Pm 3.16-3.31

---

No. 9
The following is a DFT calculation (PBE) of a relaxed Pm2Al3GaAg4 crystal.

Results
Raw total energy, eV per cell: -38.53
Density of states at the Fermi level, states/eV per cell: 5.6

Cell lengths 4.3824, 4.3824, 10.8107 Å; angles 90.00, 90.00, 90.00 degrees
Last column: nearest neighbours and their distance in Å.
Space group P-4m2 (No. 115)
Unique sites:
Pm: 0.0000 0.5000 0.2484 [2 per cell]  8 Ag 3.34-3.49, 6 Al 3.35-3.47, 2 Ga 3.47
Al: 0.0000 0.0000 0.0000 [1 per cell]  4 Ag 2.63
Al: 0.0000 0.5000 0.6336 [2 per cell]  5 Ag 2.51-2.62
Ga: 0.5000 0.5000 0.0000 [1 per cell]  4 Ag 2.63
Ag: 0.0000 0.0000 0.5000 [1 per cell]  4 Al 2.62
Ag: 0.0000 0.5000 0.8660 [2 per cell]  3 Al 2.51-2.63, 2 Ga 2.63
Ag: 0.5000 0.5000 0.5000 [1 per cell]  4 Al 2.62

---

No. 10
The following is a DFT calculation (PBE) of a relaxed Pm2Al4Ga3Ag crystal.

Results
Raw total energy, eV per cell: -40.62
Density of states at the Fermi level, states/eV per cell: 2.8

Cell lengths 4.2786, 4.2786, 10.9334 Å; angles 90.00, 90.00, 90.00 degrees
Last column: nearest neighbours and their distance in Å.
Space group P-4m2 (No. 115)
Unique sites:
Pm: 0.0000 0.5000 0.2497 [2 per cell]  6 Ga 3.26-3.47, 8 Al 3.28-3.47, 2 Ag 3.47
Al: 0.0000 0.0000 0.0000 [1 per cell]  4 Ga 2.62
Al: 0.0000 0.5000 0.6346 [2 per cell]  3 Ga 2.48-2.60, 2 Ag 2.60
Al: 0.5000 0.5000 0.0000 [1 per cell]  4 Ga 2.62
Ga: 0.0000 0.5000 0.8615 [2 per cell]  5 Al 2.48-2.62
Ga: 0.5000 0.5000 0.5000 [1 per cell]  4 Al 2.60
Ag: 0.0000 0.0000 0.5000 [1 per cell]  4 Al 2.60

---

No. 11
The following is a DFT calculation (PBE) of a relaxed PmAlGa4Ag2 crystal.

Results
Raw total energy, eV per cell: -83.48
Density of states at the Fermi level, states/eV per cell: 8.7

Cell lengths 4.5770, 4.5770, 25.9867 Å; angles 90.00, 90.00, 120.00 degrees
Last column: nearest neighbours and their distance in Å.
Space group R-3m (No. 166, hexagonal axes)
Unique sites:
Pm: 0.0000 0.0000 0.0000 [3 per cell]  8 Ga 3.10-3.33, 6 Ag 3.46
Al: 0.0000 0.0000 0.5000 [3 per cell]  8 Ga 2.72-2.82
Ga: 0.0000 0.0000 0.1283 [6 per cell]  3 Al 2.82, 4 Ag 2.86-3.09, 3 Ga 3.15
Ga: 0.0000 0.0000 0.3953 [6 per cell]  3 Ag 2.72, 1 Al 2.72
Ag: 0.0000 0.0000 0.2472 [6 per cell]  6 Ga 2.72-2.86

---

No. 12
The following is a DFT calculation (PBE) of a relaxed PmAlGa2Ag crystal.

Results
Raw total energy, eV per cell: -39.63
Density of states at the Fermi level, states/eV per cell: 2.5

Cell lengths 4.2228, 4.2228, 11.1652 Å; angles 90.00, 90.00, 90.00 degrees
Last column: nearest neighbours and their distance in Å.
Space group I-4m2 (No. 119)
Unique sites:
Pm: 0.0000 0.0000 0.0000 [2 per cell]  8 Ga 3.23, 4 Ag 3.50, 4 Al 3.50
Al: 0.0000 0.5000 0.2500 [2 per cell]  4 Ga 2.63
Ga: 0.0000 0.0000 0.3902 [4 per cell]  1 Ga 2.45, 2 Al 2.63, 2 Ag 2.63
Ag: 0.0000 0.5000 0.7500 [2 per cell]  4 Ga 2.63